DFT (PBE) results for a relaxed structure of ZrScPaSn.

Lattice parameters (Å, degrees): 5.0667 5.0667 5.0667 60.00 60.00 60.00
Last column: magnetic moment on the atom in μB.
Fractional coordinates of all 4 atoms:
Pa1 0.2500 0.2500 0.2500  0.24
Sc1 0.0000 0.0000 0.0000  0.08
Zr1 0.5000 0.5000 0.5000  0.09
Sn1 0.7500 0.7500 0.7500  -0.01

total magnetization	0.5	μB/f.u.
electronic total energy	-7.2205	eV per atom
formation enthalpy at 0 K	-125.9	meV per atom